First-principles (SCAN) data for a crystal of MnRe3 relaxed with PBEsol, as listed in Alexandria.

Computed properties:
For the formation energy, the calculation gives -16 meV per atom. The calculation puts the density of states at the Fermi level at 2.0 states/eV/cell. The calculation puts the theoretical density at 18.152 Mg/m³. The total DFT energy (no corrections) is -57.9029 eV per atom.

Cell lengths 4.222, 4.222, 3.149 Å; angles 90.00, 90.00, 90.00 degrees
Space group P4/mmm (No. 123)
Unique sites:
Mn 0.000 0.000 0.000
Re 0.000 0.500 0.500
Re 0.500 0.500 0.000

First-principles (SCAN) data for a crystal of MgTlW2 relaxed with PBEsol, as listed in Alexandria.

Computed properties:
For the formation energy, the calculation gives 714 meV per atom. The calculation puts the density of states at the Fermi level at 4.6 states/eV/cell. The calculation puts the theoretical density at 13.670 Mg/m³. The total DFT energy (no corrections) is -53.4634 eV per atom.

Cell lengths 3.438, 4.709, 8.950 Å; angles 90.00, 90.00, 90.00 degrees
Space group Imm2 (No. 44)
Unique sites:
Mg 0.000 0.000 0.000
Tl 0.000 0.500 0.764
W 0.000 0.000 0.531
W 0.000 0.500 0.236

First-principles (SCAN) data for a crystal of Zr2Mn2I relaxed with PBEsol, as listed in Alexandria.

Computed properties:
The calculation puts the density of states at the Fermi level at 13.1 states/eV/cell. The calculation puts the theoretical density at 7.666 Mg/m³. For the formation energy from raw total energies, the calculation gives 25.1 kJ per mole of atoms. The total DFT energy (no corrections) is -26.6696 eV per atom.

Cell lengths 3.332, 3.332, 16.360 Å; angles 90.00, 90.00, 90.00 degrees
Space group I4/mmm (No. 139)
Unique sites:
Zr 0.000 0.000 0.121
Mn 0.000 0.500 0.250
I 0.000 0.000 0.500